[1]
Entry from Alexandria: a geometry-optimized YScN2O structure (GGA-PBE).

Cell lengths 4.063, 4.063, 4.049 Å; angles 90.00, 90.00, 90.00 degrees
Element x y z (fractional)
Y 0.000 0.000 0.000
Sc 0.500 0.500 0.500
N 0.000 0.500 0.500
N 0.500 0.000 0.500
O 0.500 0.500 0.000

Computed properties:
final energy: -7.9830 eV per atom
uncorrected formation energy: -1.102 eV per atom

[2]
Entry from Alexandria: a geometry-optimized YScN2O structure (GGA-PBE).

Cell lengths 4.273, 4.273, 4.257 Å; angles 90.00, 90.00, 90.00 degrees
Element x y z (fractional)
Y 0.000 0.000 0.000
Sc 0.500 0.500 0.500
N 0.000 0.500 0.000
N 0.500 0.000 0.000
O 0.000 0.000 0.500

Computed properties:
final energy: -7.2043 eV per atom
uncorrected formation energy: -0.323 eV per atom

[3]
Entry from Alexandria: a geometry-optimized ScZnNO2 structure (GGA-PBE).

Cell lengths 4.039, 4.039, 4.259 Å; angles 90.00, 90.00, 90.00 degrees
Element x y z (fractional)
Sc 0.000 0.000 0.000
Zn 0.500 0.500 0.500
N 0.000 0.000 0.500
O 0.000 0.500 0.000
O 0.500 0.000 0.000

Computed properties:
final energy: -5.7287 eV per atom
uncorrected formation energy: -0.559 eV per atom

[4]
Entry from Alexandria: a geometry-optimized Sc6Zn2NO structure (GGA-PBE).

Cell lengths 6.214, 6.214, 6.214 Å; angles 60.00, 60.00, 60.00 degrees
Element x y z (fractional)
Sc 0.248 0.248 0.752
Sc 0.248 0.752 0.248
Sc 0.248 0.752 0.752
Sc 0.752 0.248 0.248
Sc 0.752 0.248 0.752
Sc 0.752 0.752 0.248
Zn 0.250 0.250 0.250
Zn 0.750 0.750 0.750
N 0.000 0.000 0.000
O 0.500 0.500 0.500

Computed properties:
final energy: -6.5855 eV per atom
uncorrected formation energy: -1.203 eV per atom

[5]
Entry from Alexandria: a geometry-optimized ScZnNO2 structure (GGA-PBE).

Cell lengths 3.792, 3.792, 3.828 Å; angles 90.00, 90.00, 90.00 degrees
Element x y z (fractional)
Sc 0.000 0.000 0.000
Zn 0.500 0.500 0.500
N 0.500 0.500 0.000
O 0.000 0.500 0.500
O 0.500 0.000 0.500

Computed properties:
final energy: -5.8030 eV per atom
uncorrected formation energy: -0.634 eV per atom

[6]
Entry from Alexandria: a geometry-optimized ZrScN2O structure (GGA-PBE).

Cell lengths 4.166, 4.166, 4.070 Å; angles 90.00, 90.00, 90.00 degrees
Element x y z (fractional)
Zr 0.000 0.000 0.000
Sc 0.500 0.500 0.500
N 0.000 0.500 0.000
N 0.500 0.000 0.000
O 0.000 0.000 0.500

Computed properties:
final energy: -8.2667 eV per atom
uncorrected formation energy: -0.969 eV per atom

[7]
Entry from Alexandria: a geometry-optimized ZrScN2O structure (GGA-PBE).

Cell lengths 4.030, 4.030, 3.891 Å; angles 90.00, 90.00, 90.00 degrees
Element x y z (fractional)
Zr 0.000 0.000 0.000
Sc 0.500 0.500 0.500
N 0.000 0.500 0.500
N 0.500 0.000 0.500
O 0.500 0.500 0.000

Computed properties:
final energy: -8.0404 eV per atom
uncorrected formation energy: -0.743 eV per atom

[8]
Entry from Alexandria: a geometry-optimized SiSe2NO structure (GGA-PBE).

Cell lengths 4.991, 4.991, 3.227 Å; angles 90.00, 90.00, 90.00 degrees
Element x y z (fractional)
Si 0.000 0.000 0.000
Se 0.000 0.500 0.000
Se 0.500 0.000 0.000
N 0.000 0.000 0.500
O 0.500 0.500 0.500

Computed properties:
final energy: -4.3163 eV per atom
excess energy over the best structure of this formula in the dataset: 0 meV per atom
uncorrected formation energy: 0.819 eV per atom

[9]
Entry from Alexandria: a geometry-optimized Si2SeNO structure (GGA-PBE).

Cell lengths 4.897, 4.897, 3.662 Å; angles 90.00, 90.00, 90.00 degrees
Element x y z (fractional)
Si 0.000 0.500 0.000
Si 0.500 0.000 0.000
Se 0.000 0.000 0.000
N 0.000 0.000 0.500
O 0.500 0.500 0.500

Computed properties:
final energy: -3.9931 eV per atom
uncorrected formation energy: 1.530 eV per atom

[10]
Entry from Alexandria: a geometry-optimized SiSeNO2 structure (GGA-PBE).

Cell lengths 3.819, 3.819, 3.983 Å; angles 90.00, 90.00, 90.00 degrees
Element x y z (fractional)
Si 0.000 0.000 0.000
Se 0.500 0.500 0.500
N 0.500 0.500 0.000
O 0.000 0.500 0.500
O 0.500 0.000 0.500

Computed properties:
final energy: -4.8161 eV per atom
uncorrected formation energy: 0.614 eV per atom

[11]
Entry from Alexandria: a geometry-optimized SiSeNO2 structure (GGA-PBE).

Cell lengths 3.490, 3.490, 3.919 Å; angles 90.00, 90.00, 90.00 degrees
Element x y z (fractional)
Si 0.000 0.000 0.000
Se 0.500 0.500 0.500
N 0.000 0.000 0.500
O 0.000 0.500 0.000
O 0.500 0.000 0.000

Computed properties:
final energy: -5.8593 eV per atom
uncorrected formation energy: -0.429 eV per atom

[12]
Entry from Alexandria: a geometry-optimized SiSe2NO structure (GGA-PBE).

Cell lengths 4.310, 4.310, 4.024 Å; angles 90.00, 90.00, 90.00 degrees
Element x y z (fractional)
Si 0.000 0.000 0.000
Se 0.000 0.500 0.500
Se 0.500 0.000 0.500
N 0.500 0.500 0.000
O 0.500 0.500 0.500

Computed properties:
final energy: -3.7999 eV per atom
excess energy over the best structure of this formula in the dataset: 516 meV per atom
uncorrected formation energy: 1.335 eV per atom

[13]
Entry from Alexandria: a geometry-optimized SnSe2NO structure (GGA-PBE).

Cell lengths 5.361, 5.361, 3.976 Å; angles 90.00, 90.00, 90.00 degrees
Element x y z (fractional)
Sn 0.000 0.000 0.000
Se 0.000 0.500 0.000
Se 0.500 0.000 0.000
N 0.000 0.000 0.500
O 0.500 0.500 0.500

Computed properties:
final energy: -3.3468 eV per atom
excess energy over the best structure of this formula in the dataset: 462 meV per atom
uncorrected formation energy: 1.504 eV per atom

[14]
Entry from Alexandria: a geometry-optimized SnSe2NO structure (GGA-PBE).

Cell lengths 4.385, 4.385, 4.326 Å; angles 90.00, 90.00, 90.00 degrees
Element x y z (fractional)
Sn 0.000 0.000 0.000
Se 0.000 0.500 0.500
Se 0.500 0.000 0.500
N 0.500 0.500 0.000
O 0.500 0.500 0.500

Computed properties:
final energy: -3.8084 eV per atom
excess energy over the best structure of this formula in the dataset: 0 meV per atom
uncorrected formation energy: 1.043 eV per atom

[15]
Entry from Alexandria: a geometry-optimized Zn3Sn3Se9NO4 structure (GGA-PBE).

Cell lengths 7.824, 7.829, 8.499 Å; angles 103.80, 103.39, 91.55 degrees
Element x y z (fractional)
Zn 0.000 0.000 0.000
Zn 0.060 0.160 0.449
Zn 0.311 0.509 0.429
Sn 0.445 0.840 0.301
Sn 0.650 0.241 0.060
Sn 0.750 0.703 0.550
Se 0.060 0.740 0.792
Se 0.251 0.101 0.248
Se 0.276 0.920 0.697
Se 0.311 0.527 0.147
Se 0.556 0.523 0.666
Se 0.666 0.800 0.089
Se 0.733 0.080 0.625
Se 0.901 0.522 0.305
Se 0.918 0.273 0.890
N 0.780 0.998 0.079
O 0.068 0.418 0.433
O 0.189 0.110 0.667
O 0.256 0.794 0.497
O 0.815 0.132 0.466

Computed properties:
final energy: -4.0989 eV per atom
uncorrected formation energy: -0.331 eV per atom

[16]
Entry from Alexandria: a geometry-optimized SrSeN2O structure (GGA-PBE).

Cell lengths 5.090, 5.090, 4.550 Å; angles 90.00, 90.00, 90.00 degrees
Element x y z (fractional)
Sr 0.000 0.000 0.000
Se 0.500 0.500 0.500
N 0.000 0.500 0.000
N 0.500 0.000 0.000
O 0.000 0.000 0.500

Computed properties:
final energy: -3.7463 eV per atom
uncorrected formation energy: 1.609 eV per atom

[17]
Entry from Alexandria: a geometry-optimized SrSeN2O structure (GGA-PBE).

Cell lengths 3.856, 3.856, 4.244 Å; angles 90.00, 90.00, 90.00 degrees
Element x y z (fractional)
Sr 0.000 0.000 0.000
Se 0.500 0.500 0.500
N 0.000 0.500 0.500
N 0.500 0.000 0.500
O 0.500 0.500 0.000

Computed properties:
final energy: -5.2678 eV per atom
uncorrected formation energy: 0.087 eV per atom

[18]
Entry from Alexandria: a geometry-optimized SrSeN2O structure (GGA-PBE).

Cell lengths 5.073, 5.073, 6.261 Å; angles 90.00, 90.00, 90.00 degrees
Element x y z (fractional)
Sr 0.000 0.000 0.000
Se 0.000 0.000 0.500
N 0.000 0.500 0.000
N 0.500 0.000 0.000
O 0.500 0.500 0.500

Computed properties:
final energy: -3.4723 eV per atom
uncorrected formation energy: 1.883 eV per atom

[19]
Entry from Alexandria: a geometry-optimized SrSeN2O structure (GGA-PBE).

Cell lengths 4.327, 4.327, 4.034 Å; angles 90.00, 90.00, 90.00 degrees
Element x y z (fractional)
Sr 0.000 0.000 0.000
Se 0.500 0.500 0.000
N 0.000 0.500 0.500
N 0.500 0.000 0.500
O 0.500 0.500 0.500

Computed properties:
final energy: -4.2299 eV per atom
uncorrected formation energy: 1.125 eV per atom

[20]
Entry from Alexandria: a geometry-optimized TaSeN2O structure (GGA-PBE).

Cell lengths 3.890, 3.890, 5.508 Å; angles 90.00, 90.00, 90.00 degrees
Element x y z (fractional)
Ta 0.000 0.000 0.000
Se 0.000 0.000 0.500
N 0.000 0.500 0.000
N 0.500 0.000 0.000
O 0.500 0.500 0.500

Computed properties:
final energy: -6.6411 eV per atom
uncorrected formation energy: 0.748 eV per atom

[21]
Entry from Alexandria: a geometry-optimized TaSeN2O structure (GGA-PBE).

Cell lengths 3.860, 3.860, 3.791 Å; angles 90.00, 90.00, 90.00 degrees
Element x y z (fractional)
Ta 0.000 0.000 0.000
Se 0.500 0.500 0.000
N 0.000 0.500 0.500
N 0.500 0.000 0.500
O 0.500 0.500 0.500

Computed properties:
final energy: -5.9106 eV per atom
uncorrected formation energy: 1.479 eV per atom

[22]
Entry from Alexandria: a geometry-optimized TaSeN2O structure (GGA-PBE).

Cell lengths 4.186, 4.186, 3.841 Å; angles 90.00, 90.00, 90.00 degrees
Element x y z (fractional)
Ta 0.000 0.000 0.000
Se 0.500 0.500 0.500
N 0.000 0.500 0.000
N 0.500 0.000 0.000
O 0.000 0.000 0.500

Computed properties:
final energy: -7.3592 eV per atom
uncorrected formation energy: 0.030 eV per atom

[23]
Entry from Alexandria: a geometry-optimized TaSeN2O structure (GGA-PBE).

Cell lengths 3.916, 3.916, 3.689 Å; angles 90.00, 90.00, 90.00 degrees
Element x y z (fractional)
Ta 0.000 0.000 0.000
Se 0.500 0.500 0.500
N 0.000 0.500 0.500
N 0.500 0.000 0.500
O 0.500 0.500 0.000

Computed properties:
final energy: -6.3194 eV per atom
uncorrected formation energy: 1.070 eV per atom

[24]
Entry from Alexandria: a geometry-optimized TcSeNO2 structure (GGA-PBE).

Cell lengths 3.824, 3.824, 4.136 Å; angles 90.00, 90.00, 90.00 degrees
Element x y z (fractional)
Tc 0.000 0.000 0.000
Se 0.500 0.500 0.500
N 0.500 0.500 0.000
O 0.000 0.500 0.500
O 0.500 0.000 0.500

Computed properties:
final energy: -5.5706 eV per atom
uncorrected formation energy: 0.848 eV per atom

[25]
Entry from Alexandria: a geometry-optimized TcSeNO2 structure (GGA-PBE).

Cell lengths 3.772, 3.772, 4.314 Å; angles 90.00, 90.00, 90.00 degrees
Element x y z (fractional)
Tc 0.000 0.000 0.000
Se 0.500 0.500 0.500
N 0.000 0.000 0.500
O 0.000 0.500 0.000
O 0.500 0.000 0.000

Computed properties:
final energy: -6.3060 eV per atom
uncorrected formation energy: 0.112 eV per atom

[26]
Entry from Alexandria: a geometry-optimized TiSeN2O structure (GGA-PBE).

Cell lengths 3.708, 3.708, 5.618 Å; angles 90.00, 90.00, 90.00 degrees
Element x y z (fractional)
Ti 0.000 0.000 0.000
Se 0.000 0.000 0.500
N 0.000 0.500 0.000
N 0.500 0.000 0.000
O 0.500 0.500 0.500

Computed properties:
final energy: -5.7991 eV per atom
uncorrected formation energy: 0.799 eV per atom

[27]
Entry from Alexandria: a geometry-optimized TiSeN2O structure (GGA-PBE).

Cell lengths 3.857, 3.857, 3.796 Å; angles 90.00, 90.00, 90.00 degrees
Element x y z (fractional)
Ti 0.000 0.000 0.000
Se 0.500 0.500 0.000
N 0.000 0.500 0.500
N 0.500 0.000 0.500
O 0.500 0.500 0.500

Computed properties:
final energy: -5.3227 eV per atom
uncorrected formation energy: 1.275 eV per atom